Density functional theory data (PBE-GGA) for an optimized crystal structure of CaMgScIn2.

a b c (Å): 5.491 5.491 5.512
angles (deg): 90.00 90.00 90.00
Sites, in units of the cell vectors:
Ca1 0.000 0.000 0.000
Mg1 0.500 0.500 0.000
Sc1 0.500 0.500 0.500
In1 0.000 0.500 0.500
In2 0.500 0.000 0.500

The value obtained for the total magnetic moment is 0.00 μB per formula unit. The value obtained for the offset from the most stable computed form is 0.000 eV per atom. As for the calculated total energy: -14.09 eV/f.u. The formation enthalpy at 0 K is 264 meV per atom.


Density functional theory data (PBE-GGA) for an optimized crystal structure of BaSiCl.

a b c (Å): 5.320 5.320 4.156
angles (deg): 90.00 90.00 120.00
Sites, in units of the cell vectors:
Ba1 0.000 0.000 0.000
Si1 0.333 0.667 0.500
Cl1 0.667 0.333 0.000

The value obtained for the total magnetic moment is 2.17 μB per formula unit. As for the calculated total energy: -10.36 eV/f.u. As for the uncorrected formation energy: -0.3894 eV/atom.


Density functional theory data (PBE-GGA) for an optimized crystal structure of La2Co2Ni.

a b c (Å): 6.946 6.946 4.007
angles (deg): 90.00 90.00 90.00
Sites, in units of the cell vectors:
La1 0.190 0.310 0.000
La2 0.310 0.810 0.000
La3 0.690 0.190 0.000
La4 0.810 0.690 0.000
Co1 0.119 0.619 0.500
Co2 0.381 0.119 0.500
Co3 0.619 0.881 0.500
Co4 0.881 0.381 0.500
Ni1 0.000 0.000 0.500
Ni2 0.500 0.500 0.500

The value obtained for the total magnetic moment is 0.60 μB per formula unit. As for the calculated total energy: -29.91 eV/f.u. The formation enthalpy at 0 K is -11 meV per atom.


Density functional theory data (PBE-GGA) for an optimized crystal structure of SrAc3In2.

a b c (Å): 5.787 10.529 7.476
angles (deg): 90.00 90.00 90.00
Sites, in units of the cell vectors:
Sr1 0.000 0.042 0.000
Sr2 0.000 0.958 0.500
Ac1 0.000 0.327 0.678
Ac2 0.000 0.673 0.178
Ac3 0.500 0.172 0.290
Ac4 0.500 0.459 0.973
Ac5 0.500 0.541 0.473
Ac6 0.500 0.828 0.790
In1 0.000 0.346 0.206
In2 0.000 0.654 0.706
In3 0.500 0.154 0.762
In4 0.500 0.846 0.262

The value obtained for the total magnetic moment is 0.00 μB per formula unit. The value obtained for the offset from the most stable computed form is 0.000 eV per atom. As for the calculated total energy: -21.31 eV/f.u. The formation enthalpy at 0 K is -305 meV per atom.


Density functional theory data (PBE-GGA) for an optimized crystal structure of Mg5Cd2Ni2Rh.

a b c (Å): 10.844 10.844 3.091
angles (deg): 90.00 90.00 90.00
Sites, in units of the cell vectors:
Mg1 0.000 0.500 0.000
Mg2 0.052 0.194 0.000
Mg3 0.194 0.948 0.000
Mg4 0.306 0.448 0.000
Mg5 0.448 0.694 0.000
Mg6 0.500 0.000 0.000
Mg7 0.552 0.306 0.000
Mg8 0.694 0.552 0.000
Mg9 0.806 0.052 0.000
Mg10 0.948 0.806 0.000
Cd1 0.182 0.682 0.500
Cd2 0.318 0.182 0.500
Cd3 0.682 0.818 0.500
Cd4 0.818 0.318 0.500
Ni1 0.136 0.364 0.500
Ni2 0.364 0.864 0.500
Ni3 0.636 0.136 0.500
Ni4 0.864 0.636 0.500
Rh1 0.000 0.000 0.500
Rh2 0.500 0.500 0.500

The value obtained for the total magnetic moment is 0.00 μB per formula unit. As for the calculated total energy: -30.24 eV/f.u. The formation enthalpy at 0 K is -153 meV per atom.


Density functional theory data (PBE-GGA) for an optimized crystal structure of KCdPb2F8.

a b c (Å): 4.147 5.768 8.145
angles (deg): 90.00 90.00 90.00
Sites, in units of the cell vectors:
K1 0.000 0.000 0.000
Cd1 0.000 0.000 0.500
Pb1 0.500 0.500 0.252
Pb2 0.500 0.500 0.748
F1 0.000 0.260 0.278
F2 0.000 0.260 0.722
F3 0.000 0.740 0.278
F4 0.000 0.740 0.722
F5 0.500 0.239 0.500
F6 0.500 0.280 0.000
F7 0.500 0.720 0.000
F8 0.500 0.761 0.500

The value obtained for the total magnetic moment is 0.00 μB per formula unit. As for the calculated total energy: -52.01 eV/f.u. As for the uncorrected formation energy: -2.3012 eV/atom.


Among the records above, which one has the highest calculated total energy? BaSiCl